Entry 1:
A relaxed structure of Zn36Ga5Ni8, computed with GGA-PBE.

Values from the calculation:
Its total energy is -2.30 eV/atom. The total magnetization comes out at 0.003 μB per formula unit.

a b c (Å): 8.8471 8.8471 8.8471
angles (deg): 90.00 90.00 90.00
With the nearest neighbours (Å) after each atom.
Sites, in units of the cell vectors:
Ga (0.0000, 0.0000, 0.0000)  4 Ni 2.69, 6 Zn 2.77
Ga (0.6161, 0.3839, 0.3839)  3 Ni 2.55, 6 Zn 2.61-2.66
Ga (0.3839, 0.6161, 0.3839)  3 Ni 2.55, 6 Zn 2.61-2.66
Ga (0.3839, 0.3839, 0.6161)  3 Ni 2.55, 6 Zn 2.61-2.66
Ga (0.6161, 0.6161, 0.6161)  3 Ni 2.55, 6 Zn 2.61-2.66
Ni (0.8246, 0.1754, 0.1754)  9 Zn 2.51-2.53, 1 Ga 2.69
Ni (0.1754, 0.8246, 0.1754)  9 Zn 2.51-2.53, 1 Ga 2.69
Ni (0.3357, 0.3357, 0.3357)  9 Zn 2.54-2.70, 3 Ga 2.55
Ni (0.6643, 0.6643, 0.3357)  9 Zn 2.54-2.70, 3 Ga 2.55
Ni (0.6643, 0.3357, 0.6643)  9 Zn 2.54-2.70, 3 Ga 2.55
Ni (0.3357, 0.6643, 0.6643)  9 Zn 2.54-2.70, 3 Ga 2.55
Ni (0.1754, 0.1754, 0.8246)  9 Zn 2.51-2.53, 1 Ga 2.69
Ni (0.8246, 0.8246, 0.8246)  9 Zn 2.51-2.53, 1 Ga 2.69
Zn (0.3127, 0.0000, 0.0000)  2 Ni 2.51, 6 Zn 2.60-2.65, 1 Ga 2.77
Zn (0.6873, 0.0000, 0.0000)  2 Ni 2.51, 6 Zn 2.60-2.65, 1 Ga 2.77
Zn (0.0000, 0.3127, 0.0000)  2 Ni 2.51, 6 Zn 2.60-2.65, 1 Ga 2.77
Zn (0.0000, 0.6873, 0.0000)  2 Ni 2.51, 6 Zn 2.60-2.65, 1 Ga 2.77
Zn (0.2937, 0.2937, 0.0553)  2 Ni 2.52-2.54, 7 Zn 2.63-2.74
Zn (0.7063, 0.7063, 0.0553)  2 Ni 2.52-2.54, 7 Zn 2.63-2.74
Zn (0.5000, 0.5000, 0.1381)  3 Zn 2.44-2.68, 2 Ga 2.61, 2 Ni 2.70
Zn (0.5387, 0.1789, 0.1789)  2 Ni 2.53-2.66, 5 Zn 2.60-2.74, 1 Ga 2.66
Zn (0.8211, 0.4613, 0.1789)  2 Ni 2.53-2.66, 5 Zn 2.60-2.74, 1 Ga 2.66
Zn (0.1789, 0.5387, 0.1789)  2 Ni 2.53-2.66, 5 Zn 2.60-2.74, 1 Ga 2.66
Zn (0.4613, 0.8211, 0.1789)  2 Ni 2.53-2.66, 5 Zn 2.60-2.74, 1 Ga 2.66
Zn (0.2937, 0.0553, 0.2937)  2 Ni 2.52-2.54, 7 Zn 2.63-2.74
Zn (0.0553, 0.2937, 0.2937)  2 Ni 2.52-2.54, 7 Zn 2.63-2.74
Zn (0.9447, 0.7063, 0.2937)  2 Ni 2.52-2.54, 7 Zn 2.63-2.74
Zn (0.7063, 0.9447, 0.2937)  2 Ni 2.52-2.54, 7 Zn 2.63-2.74
Zn (0.0000, 0.0000, 0.3127)  2 Ni 2.51, 6 Zn 2.60-2.65, 1 Ga 2.77
Zn (0.8211, 0.1789, 0.4613)  2 Ni 2.53-2.66, 5 Zn 2.60-2.74, 1 Ga 2.66
Zn (0.1789, 0.8211, 0.4613)  2 Ni 2.53-2.66, 5 Zn 2.60-2.74, 1 Ga 2.66
Zn (0.5000, 0.1381, 0.5000)  3 Zn 2.44-2.68, 2 Ga 2.61, 2 Ni 2.70
Zn (0.1381, 0.5000, 0.5000)  3 Zn 2.44-2.68, 2 Ga 2.61, 2 Ni 2.70
Zn (0.8619, 0.5000, 0.5000)  3 Zn 2.44-2.68, 2 Ga 2.61, 2 Ni 2.70
Zn (0.5000, 0.8619, 0.5000)  3 Zn 2.44-2.68, 2 Ga 2.61, 2 Ni 2.70
Zn (0.1789, 0.1789, 0.5387)  2 Ni 2.53-2.66, 5 Zn 2.60-2.74, 1 Ga 2.66
Zn (0.8211, 0.8211, 0.5387)  2 Ni 2.53-2.66, 5 Zn 2.60-2.74, 1 Ga 2.66
Zn (0.0000, 0.0000, 0.6873)  2 Ni 2.51, 6 Zn 2.60-2.65, 1 Ga 2.77
Zn (0.7063, 0.0553, 0.7063)  2 Ni 2.52-2.54, 7 Zn 2.63-2.74
Zn (0.9447, 0.2937, 0.7063)  2 Ni 2.52-2.54, 7 Zn 2.63-2.74
Zn (0.0553, 0.7063, 0.7063)  2 Ni 2.52-2.54, 7 Zn 2.63-2.74
Zn (0.2937, 0.9447, 0.7063)  2 Ni 2.52-2.54, 7 Zn 2.63-2.74
Zn (0.4613, 0.1789, 0.8211)  2 Ni 2.53-2.66, 5 Zn 2.60-2.74, 1 Ga 2.66
Zn (0.1789, 0.4613, 0.8211)  2 Ni 2.53-2.66, 5 Zn 2.60-2.74, 1 Ga 2.66
Zn (0.8211, 0.5387, 0.8211)  2 Ni 2.53-2.66, 5 Zn 2.60-2.74, 1 Ga 2.66
Zn (0.5387, 0.8211, 0.8211)  2 Ni 2.53-2.66, 5 Zn 2.60-2.74, 1 Ga 2.66
Zn (0.5000, 0.5000, 0.8619)  3 Zn 2.44-2.68, 2 Ga 2.61, 2 Ni 2.70
Zn (0.7063, 0.2937, 0.9447)  2 Ni 2.52-2.54, 7 Zn 2.63-2.74
Zn (0.2937, 0.7063, 0.9447)  2 Ni 2.52-2.54, 7 Zn 2.63-2.74

---

Entry 2:
A relaxed structure of NaNbSO, computed with GGA-PBE.

Values from the calculation:
The total magnetization comes out at 0.001 μB per formula unit. The distance to the lowest polymorph of the same formula comes out at 0.85 eV/f.u.

a b c (Å): 5.2409 5.2511 9.6160
angles (deg): 90.00 105.80 90.00
With the nearest neighbours (Å) after each atom.
Sites, in units of the cell vectors:
Na (0.4344, 0.6116, 0.3682)  1 O 2.68, 4 S 2.69-2.70
Na (0.9478, 0.1127, 0.3994)  5 S 2.77-2.79
Na (0.0522, 0.6127, 0.6006)  5 S 2.77-2.79
Na (0.5656, 0.1116, 0.6318)  1 O 2.68, 4 S 2.69-2.70
Nb (0.6018, 0.3061, 0.0938)  4 O 2.09-2.27
Nb (0.9916, 0.9194, 0.0940)  4 O 2.09-2.28
Nb (0.0084, 0.4194, 0.9060)  4 O 2.09-2.28
Nb (0.3982, 0.8061, 0.9062)  4 O 2.09-2.27
O (0.7507, 0.6127, 0.0009)  4 Nb 2.09
O (0.2894, 0.6126, 0.0789)  4 Nb 2.15-2.28
O (0.7106, 0.1126, 0.9211)  4 Nb 2.15-2.28
O (0.2493, 0.1127, 0.9991)  4 Nb 2.09
S (0.8997, 0.6127, 0.2993)  2 Nb 2.69, 5 Na 2.69-2.79, 1 O 2.76
S (0.3988, 0.1121, 0.2995)  2 Nb 2.68-2.69, 4 Na 2.70-2.78, 1 O 2.78
S (0.6012, 0.6121, 0.7005)  2 Nb 2.68-2.69, 4 Na 2.70-2.78, 1 O 2.78
S (0.1003, 0.1127, 0.7007)  2 Nb 2.69, 5 Na 2.69-2.79, 1 O 2.76

---

Entry 3:
A relaxed structure of PmHgSeO, computed with GGA-PBE.

Values from the calculation:
The total magnetization comes out at 0.001 μB per formula unit. The distance to the lowest polymorph of the same formula comes out at 1.03 eV/f.u.

a b c (Å): 5.4190 4.9599 8.9809
angles (deg): 90.00 90.00 90.00
With the nearest neighbours (Å) after each atom.
Sites, in units of the cell vectors:
Hg (0.6343, 0.0000, 0.3094)  2 Se 2.68-2.74
Hg (0.1343, 0.0000, 0.6906)  2 Se 2.68-2.74
O (0.6645, 0.5000, 0.0880)  2 Pm 2.14-2.16
O (0.1645, 0.5000, 0.9120)  2 Pm 2.14-2.16
Pm (0.0528, 0.5000, 0.1405)  2 O 2.14-2.16
Pm (0.5528, 0.5000, 0.8595)  2 O 2.14-2.16
Se (0.1394, 0.0000, 0.3088)  2 Hg 2.68-2.74, 2 Pm 2.94
Se (0.6394, 0.0000, 0.6912)  2 Hg 2.68-2.74, 2 Pm 2.94

---

Entry 4:
A relaxed structure of Ho2ZrN3, computed with GGA-PBE.

Values from the calculation:
Its total energy is -8.87 eV/atom. The total magnetization comes out at 0.001 μB per formula unit.

a b c (Å): 3.3541 3.3541 8.2786
angles (deg): 90.00 90.00 120.00
With the nearest neighbours (Å) after each atom.
Sites, in units of the cell vectors:
Ho (0.6667, 0.3333, 0.1691)  6 N 2.39-2.43
Ho (0.3333, 0.6667, 0.8309)  6 N 2.39-2.43
N (0.0000, 0.0000, 0.0000)  6 Ho 2.39
N (0.3333, 0.6667, 0.3455)  3 Zr 2.32, 3 Ho 2.43
N (0.6667, 0.3333, 0.6545)  3 Zr 2.32, 3 Ho 2.43
Zr (0.0000, 0.0000, 0.5000)  6 N 2.32

---

Entry 5:
A relaxed structure of Pr2TaCN2O4, computed with GGA-PBE.

Values from the calculation:
Its total energy is -8.80 eV/atom. The total magnetization comes out at 0.004 μB per formula unit.

a b c (Å): 6.5558 6.8387 6.8702
angles (deg): 68.64 75.66 84.11
With the nearest neighbours (Å) after each atom.
Sites, in units of the cell vectors:
C (0.8213, 0.6944, 0.4392)  2 N 1.22-1.25
C (0.1787, 0.3056, 0.5608)  2 N 1.22-1.25
N (0.7056, 0.6582, 0.3367)  1 C 1.25
N (0.0704, 0.2697, 0.4566)  1 C 1.22
N (0.9296, 0.7303, 0.5434)  1 C 1.22
N (0.2944, 0.3418, 0.6633)  1 C 1.25
O (0.8560, 0.3182, 0.1395)  1 Ta 1.97
O (0.1354, 0.9866, 0.1555)  1 Ta 1.88
O (0.3769, 0.6214, 0.1558)  1 Ta 1.85
O (0.4973, 0.1170, 0.3015)  1 Ta 1.98
O (0.5027, 0.8830, 0.6985)  1 Ta 1.98
O (0.6231, 0.3786, 0.8442)  1 Ta 1.85
O (0.8646, 0.0134, 0.8445)  1 Ta 1.88
O (0.1440, 0.6818, 0.8605)  1 Ta 1.97
Pr (0.2394, 0.3292, 0.0714)  6 O 2.33-2.59, 1 N 2.50
Pr (0.3215, 0.7776, 0.4703)  5 O 2.45-2.67, 2 N 2.52-2.61
Pr (0.6785, 0.2224, 0.5297)  5 O 2.45-2.67, 2 N 2.52-2.61
Pr (0.7606, 0.6708, 0.9286)  6 O 2.33-2.59, 1 N 2.50
Ta (0.7183, 0.1415, 0.0394)  4 O 1.85-1.98
Ta (0.2817, 0.8585, 0.9606)  4 O 1.85-1.98

---

Entry 6:
A relaxed structure of MgRe, computed with GGA-PBE.

Values from the calculation:
The total magnetization comes out at 0.001 μB per formula unit. The distance to the lowest polymorph of the same formula comes out at 0.31 eV/f.u.

a b c (Å): 8.0811 5.5345 4.4077
angles (deg): 90.00 90.00 88.09
With the nearest neighbours (Å) after each atom.
Sites, in units of the cell vectors:
Mg (0.0478, 0.4493, 0.0000)  5 Mg 2.76-3.06, 3 Re 2.80-2.81
Mg (0.6799, 0.5978, 0.0000)  6 Re 2.74-3.04, 3 Mg 2.83-3.06
Mg (0.0301, 0.9483, 0.0000)  2 Re 2.76-3.01, 6 Mg 2.76-2.83
Mg (0.2089, 0.1244, 0.5000)  6 Re 2.74-3.04, 3 Mg 2.83-3.06
Mg (0.8410, 0.2729, 0.5000)  5 Mg 2.76-3.06, 3 Re 2.80-2.81
Mg (0.8587, 0.7739, 0.5000)  2 Re 2.76-3.01, 6 Mg 2.76-2.83
Re (0.6677, 0.0924, 0.0000)  3 Re 2.53-2.59, 4 Mg 2.74-2.81
Re (0.3784, 0.2828, 0.0000)  5 Re 2.53-2.82, 3 Mg 2.75-2.80
Re (0.3540, 0.7758, 0.0000)  6 Re 2.59-2.82, 2 Mg 2.76-2.78
Re (0.5105, 0.4394, 0.5000)  5 Re 2.53-2.82, 3 Mg 2.75-2.80
Re (0.2211, 0.6298, 0.5000)  3 Re 2.53-2.59, 4 Mg 2.74-2.81
Re (0.5349, 0.9465, 0.5000)  6 Re 2.59-2.82, 2 Mg 2.76-2.78

---

Entry 7:
A relaxed structure of NaTbPO, computed with GGA-PBE.

Values from the calculation:
The total magnetization comes out at 0.002 μB per formula unit. The distance to the lowest polymorph of the same formula comes out at 0.00 eV/f.u.

a b c (Å): 4.0569 6.4360 5.5803
angles (deg): 90.00 90.00 90.00
With the nearest neighbours (Å) after each atom.
Sites, in units of the cell vectors:
Na (0.0000, 0.1246, 0.0628)  4 O 2.58-2.60, 2 P 2.79
Na (0.0000, 0.8754, 0.5628)  4 O 2.58-2.60, 2 P 2.79
O (0.5000, 0.9994, 0.3146)  2 Tb 2.18-2.19
O (0.5000, 0.0006, 0.8146)  2 Tb 2.18-2.19
P (0.0000, 0.4999, 0.3128)  2 Na 2.79, 2 P 2.79, 4 Tb 2.90
P (0.0000, 0.5001, 0.8128)  2 Na 2.79, 2 P 2.79, 4 Tb 2.90
Tb (0.5000, 0.7387, 0.0637)  2 O 2.18-2.19
Tb (0.5000, 0.2613, 0.5637)  2 O 2.18-2.19

---

Entry 8:
A relaxed structure of NbFeBiPt, computed with GGA-PBE.

Values from the calculation:
The total magnetization comes out at 1.169 μB per formula unit. The distance to the lowest polymorph of the same formula comes out at 0.17 eV/f.u.

a b c (Å): 4.6410 4.6410 4.6410
angles (deg): 60.00 60.00 60.00
With the nearest neighbours (Å) after each atom.
Sites, in units of the cell vectors:
Bi (0.0000, 0.0000, 0.0000)  4 Pt 2.84, 4 Fe 2.84
Fe (0.7500, 0.7500, 0.7500)  4 Nb 2.84, 4 Bi 2.84
Nb (0.5000, 0.5000, 0.5000)  4 Fe 2.84, 4 Pt 2.84
Pt (0.2500, 0.2500, 0.2500)  4 Bi 2.84, 4 Nb 2.84

---

Entry 9:
A relaxed structure of Ho4BICl4, computed with GGA-PBE.

Values from the calculation:
Its total energy is -4.94 eV/atom. The total magnetization comes out at 0.008 μB per formula unit.

a b c (Å): 8.7731 8.7731 8.4884
angles (deg): 104.05 104.05 25.52
With the nearest neighbours (Å) after each atom.
Sites, in units of the cell vectors:
B (0.5000, 0.5000, 0.0000)  6 Ho 2.45-2.56
Cl (0.8284, 0.8284, 0.1387)  4 Ho 2.78-3.00
Cl (0.1680, 0.1680, 0.3093)  3 Ho 2.71-2.79
Cl (0.8320, 0.8320, 0.6907)  3 Ho 2.71-2.79
Cl (0.1716, 0.1716, 0.8613)  4 Ho 2.78-3.00
Ho (0.6480, 0.6480, 0.0789)  1 B 2.45, 2 Cl 2.71
Ho (0.0002, 0.0002, 0.1971)  2 B 2.56, 2 Cl 2.79-2.86
Ho (0.9998, 0.9998, 0.8029)  2 B 2.56, 2 Cl 2.79-2.86
Ho (0.3520, 0.3520, 0.9211)  1 B 2.45, 2 Cl 2.71
I (0.5000, 0.5000, 0.5000)  4 Ho 3.22

---

Entry 10:
A relaxed structure of LiHg2B, computed with GGA-PBE.

Values from the calculation:
Its total energy is -1.57 eV/atom.

a b c (Å): 4.6341 4.6341 4.6341
angles (deg): 60.00 60.00 60.00
With the nearest neighbours (Å) after each atom.
Sites, in units of the cell vectors:
B (0.5000, 0.5000, 0.5000)  4 Li 2.84, 4 Hg 2.84
Hg (0.0000, 0.0000, 0.0000)  4 Hg 2.84, 4 Li 2.84
Hg (0.7500, 0.7500, 0.7500)  4 B 2.84, 4 Hg 2.84
Li (0.2500, 0.2500, 0.2500)  4 B 2.84, 4 Hg 2.84

---

Question: Which formula does entry 3 have?
Answer: PmHgSeO

---

What did the second record say?
A relaxed structure of NaNbSO, computed with GGA-PBE.

Values from the calculation:
The total magnetization comes out at 0.001 μB per formula unit. The distance to the lowest polymorph of the same formula comes out at 0.85 eV/f.u.

a b c (Å): 5.2409 5.2511 9.6160
angles (deg): 90.00 105.80 90.00
With the nearest neighbours (Å) after each atom.
Sites, in units of the cell vectors:
Na (0.4344, 0.6116, 0.3682)  1 O 2.68, 4 S 2.69-2.70
Na (0.9478, 0.1127, 0.3994)  5 S 2.77-2.79
Na (0.0522, 0.6127, 0.6006)  5 S 2.77-2.79
Na (0.5656, 0.1116, 0.6318)  1 O 2.68, 4 S 2.69-2.70
Nb (0.6018, 0.3061, 0.0938)  4 O 2.09-2.27
Nb (0.9916, 0.9194, 0.0940)  4 O 2.09-2.28
Nb (0.0084, 0.4194, 0.9060)  4 O 2.09-2.28
Nb (0.3982, 0.8061, 0.9062)  4 O 2.09-2.27
O (0.7507, 0.6127, 0.0009)  4 Nb 2.09
O (0.2894, 0.6126, 0.0789)  4 Nb 2.15-2.28
O (0.7106, 0.1126, 0.9211)  4 Nb 2.15-2.28
O (0.2493, 0.1127, 0.9991)  4 Nb 2.09
S (0.8997, 0.6127, 0.2993)  2 Nb 2.69, 5 Na 2.69-2.79, 1 O 2.76
S (0.3988, 0.1121, 0.2995)  2 Nb 2.68-2.69, 4 Na 2.70-2.78, 1 O 2.78
S (0.6012, 0.6121, 0.7005)  2 Nb 2.68-2.69, 4 Na 2.70-2.78, 1 O 2.78
S (0.1003, 0.1127, 0.7007)  2 Nb 2.69, 5 Na 2.69-2.79, 1 O 2.76